Density functional theory data (GGA+U) for Fe2AgMoF after structural relaxation.

Properties
**Space group**: P4/mmm (123)
**Size of the total moment**: 12.25 μB/f.u.
**Electronic total energy**: -0.2609 Ry per atom

a b c (Å): 5.023 5.023 5.449
angles (deg): 90.00 90.00 90.00
Sites, in units of the cell vectors:
Fe 0.000 0.500 0.000
Fe 0.500 0.000 0.000
Ag 0.000 0.000 0.000
Mo 0.000 0.000 0.500
F 0.500 0.500 0.500